# 1
This record from Alexandria via LeMat-Bulk describes a geometry-optimized ErCr2GeO6 structure. The functional is GGA+U.

Results
total DFT energy (no corrections): -75.71 eV/cell
size of the total moment: 7.00 μB/cell
N(E_F): 0.000 states/eV/cell

a = 5.188 Å, b = 5.247 Å, c = 5.604 Å
α = 64.05°, β = 89.93°, γ = 60.63°
Space group P1 (No. 1)
Inequivalent atoms, fractional coordinates:
Er: 0.000 0.000 0.000 [1 per cell]
Cr: 0.211 0.578 0.615 [1 per cell]
Cr: 0.716 0.552 0.156 [1 per cell]
Ge: 0.520 0.960 0.548 [1 per cell]
O: 0.174 0.026 0.361 [1 per cell]
O: 0.317 0.106 0.796 [1 per cell]
O: 0.430 0.418 0.358 [1 per cell]
O: 0.582 0.503 0.825 [1 per cell]
O: 0.799 0.777 0.356 [1 per cell]
O: 0.906 0.753 0.820 [1 per cell]

---

# 2
This record from Alexandria via LeMat-Bulk describes a geometry-optimized LiV2OsO8 structure. The functional is GGA+U.

Results
total DFT energy (no corrections): -85.90 eV/cell
size of the total moment: 2.80 μB/cell
N(E_F): 3.405 states/eV/cell

a = 5.7785 Å, b = 5.7785 Å, c = 5.4852 Å
α = 90.00°, β = 90.00°, γ = 120.00°
Space group P-3m1 (No. 164)
Inequivalent atoms, fractional coordinates:
Li: 0.0000 0.0000 0.0000 [1 per cell]
V: 0.3333 0.6667 0.6409 [2 per cell]
Os: 0.0000 0.0000 0.5000 [1 per cell]
O: 0.1562 0.3123 0.7185 [6 per cell]
O: 0.3333 0.6667 0.3469 [2 per cell]

---

> Among the records above, which one has the lowest size of the total moment?

LiV2OsO8